Compound: Pr5Sm2Er2
Source: Alexandria
Functional: PBE
Structure: relaxed

```
9
Lattice="5.690 -0.782 -2.668 -3.254 5.200 1.575 -3.974 2.480 13.334" Properties=species:S:1:pos:R:3 pbc="T T T"
Pr -0.075 3.392 1.349
Pr -1.463 3.506 10.892
Pr -2.026 2.934 7.332
Pr 0.488 3.964 4.909
Pr 0.000 0.000 0.000
Sm -2.103 6.330 8.697
Sm 0.565 0.569 3.544
Er -4.636 5.310 11.115
Er 3.098 1.588 1.126
```

* calculated volume: 310 Å³ per cell
* uncorrected energy: -4.700 eV/atom
* total magnetic moment: 0.00 μB per cell
* energy of formation from the pure elements: 18 meV per atom